# CdInGa (PBE, relaxed)
# total magnetic moment: 0.000 μB/f.u.
# energy relative to the elements: 77 meV per atom
# space group: I4/mmm
data_CdInGa
_chemical_formula_sum 'Cd2 In2 Ga2'
_symmetry_space_group_name_H-M 'P 1'
_symmetry_Int_Tables_number 1
_symmetry_space_group_name_Hall 'P 1'
_cell_length_a 3.9900
_cell_length_b 3.9900
_cell_length_c 9.6228
_cell_angle_alpha 101.97
_cell_angle_beta 101.97
_cell_angle_gamma 90.00
loop_
_atom_site_label
_atom_site_type_symbol
_atom_site_fract_x
_atom_site_fract_y
_atom_site_fract_z
Ga1 Ga 0.0678 0.0678 0.1357
Ga2 Ga 0.9322 0.9322 0.8643
In1 In 0.6093 0.6093 0.2185
In2 In 0.3907 0.3907 0.7815
Cd1 Cd 0.7792 0.7792 0.5584
Cd2 Cd 0.2208 0.2208 0.4416


# Cd2In3Ga4 (PBE, relaxed)
# total magnetic moment: 0.000 μB/f.u.
# energy relative to the elements: 55 meV per atom
# space group: P-1
# ΔE to the lowest computed polymorph: 0.00 eV/f.u.
data_Cd2In3Ga4
_chemical_formula_sum 'Cd2 In3 Ga4'
_symmetry_space_group_name_H-M 'P 1'
_symmetry_Int_Tables_number 1
_symmetry_space_group_name_Hall 'P 1'
_cell_length_a 5.3497
_cell_length_b 5.2660
_cell_length_c 9.1882
_cell_angle_alpha 70.92
_cell_angle_beta 69.95
_cell_angle_gamma 59.74
loop_
_atom_site_label
_atom_site_type_symbol
_atom_site_fract_x
_atom_site_fract_y
_atom_site_fract_z
Cd1 Cd 0.6877 0.3772 0.2655
Cd2 Cd 0.3123 0.6228 0.7345
In1 In 0.6730 0.0373 0.6108
In2 In 0.0000 0.0000 0.0000
In3 In 0.3270 0.9627 0.3892
Ga1 Ga 0.3230 0.2971 0.0593
Ga2 Ga 0.9858 0.3536 0.6645
Ga3 Ga 0.0142 0.6464 0.3355
Ga4 Ga 0.6770 0.7029 0.9407


# Cd2InGa6 (PBE, relaxed)
# total magnetic moment: 0.000 μB/f.u.
# energy relative to the elements: 59 meV per atom
# space group: C2/m
# ΔE to the lowest computed polymorph: 0.00 eV/f.u.
data_Cd2InGa6
_chemical_formula_sum 'Cd2 In1 Ga6'
_symmetry_space_group_name_H-M 'P 1'
_symmetry_Int_Tables_number 1
_symmetry_space_group_name_Hall 'P 1'
_cell_length_a 4.7996
_cell_length_b 6.8066
_cell_length_c 6.8067
_cell_angle_alpha 120.37
_cell_angle_beta 89.03
_cell_angle_gamma 89.03
loop_
_atom_site_label
_atom_site_type_symbol
_atom_site_fract_x
_atom_site_fract_y
_atom_site_fract_z
Cd1 Cd 0.6978 0.6470 0.6470
Cd2 Cd 0.3022 0.3530 0.3530
In1 In 0.0000 0.0000 0.0000
Ga1 Ga 0.1873 0.4921 0.8415
Ga2 Ga 0.8127 0.1585 0.5079
Ga3 Ga 0.8127 0.5079 0.1585
Ga4 Ga 0.5000 0.1555 0.8445
Ga5 Ga 0.1873 0.8415 0.4921
Ga6 Ga 0.5000 0.8445 0.1555